Zr2MnCr GGA-PBE relaxed; final energy = -0.6346 Ry/atom; symmetry = No. 12
1.0
2.911 -4.250 0.000
2.911 4.250 0.000
-1.009 0.000 2.809
Zr Mn Cr
2 1 1
Cartesian
1.456 2.125 0.000
1.456 -2.125 0.000
-0.504 0.000 1.405
2.407 0.000 1.405